1.
BeCrSe2F | PBE with a Hubbard U | relaxed

a = 5.687 Å, b = 2.885 Å, c = 5.687 Å
α = 90.00°, β = 90.00°, γ = 90.00°
Last column: magnetic moment on the atom in μB.
Fractional positions:
1 Cr 0.500 0.500 0.500  4.34
2 Be 0.000 0.500 0.000  0.00
3 Se 0.000 0.000 0.500  -0.12
4 Se 0.500 0.000 0.000  -0.14
5 F 0.000 0.000 0.000  0.00

Fermi-level density of states	1.400	states/eV/f.u.
VASP energy	-22.39	eV/cell
total moment	0.8813	μB/atom

2.
BeCrSnF6 | PBE with a Hubbard U | relaxed

a = 5.977 Å, b = 5.116 Å, c = 5.199 Å
α = 85.34°, β = 92.31°, γ = 59.10°
Last column: magnetic moment on the atom in μB.
Fractional positions:
1 Be 0.331 0.434 0.600  0.00
2 Cr 0.679 0.674 0.475  3.81
3 Sn 0.002 0.003 0.024  0.00
4 F 0.898 0.256 0.363  0.00
5 F 0.445 0.088 0.593  0.00
6 F 0.543 0.484 0.751  0.00
7 F 0.068 0.585 0.724  0.01
8 F 0.293 0.608 0.317  0.01
9 F 0.740 0.868 0.152  0.00

Fermi-level density of states	0.000	states/eV/f.u.
VASP energy	-50.72	eV/cell
total moment	0.4444	μB/atom

3.
SrBe2CrF8 | PBE with a Hubbard U | relaxed

a = 4.838 Å, b = 4.838 Å, c = 7.577 Å
α = 71.38°, β = 71.38°, γ = 60.00°
Last column: magnetic moment on the atom in μB.
Fractional positions:
1 Sr 0.500 0.500 0.500  0.00
2 Be 0.251 0.251 0.248  0.00
3 Be 0.749 0.749 0.752  0.00
4 Cr 0.000 0.000 0.000  3.84
5 F 0.177 0.177 0.469  0.00
6 F 0.576 0.279 0.185  0.00
7 F 0.823 0.823 0.531  0.00
8 F 0.960 0.576 0.185  0.00
9 F 0.040 0.424 0.815  0.00
10 F 0.279 0.960 0.185  0.00
11 F 0.721 0.040 0.815  0.00
12 F 0.424 0.721 0.815  0.00

Fermi-level density of states	6.843	states/eV/f.u.
VASP energy	-69.69	eV/cell
total moment	0.3333	μB/atom

4.
Be2TlCrF8 | PBE with a Hubbard U | relaxed

a = 4.909 Å, b = 4.909 Å, c = 8.617 Å
α = 73.45°, β = 73.45°, γ = 60.00°
Last column: magnetic moment on the atom in μB.
Fractional positions:
1 Be 0.263 0.263 0.211  0.00
2 Be 0.737 0.737 0.789  0.00
3 Tl 0.500 0.500 0.500  0.00
4 Cr 0.000 0.000 0.000  2.93
5 F 0.201 0.201 0.396  0.00
6 F 0.608 0.242 0.141  0.00
7 F 0.799 0.799 0.604  0.00
8 F 0.009 0.608 0.141  0.00
9 F 0.991 0.392 0.859  0.00
10 F 0.242 0.009 0.141  0.00
11 F 0.758 0.991 0.859  0.00
12 F 0.392 0.758 0.859  0.00

Fermi-level density of states	0.000	states/eV/f.u.
VASP energy	-66.66	eV/cell
total moment	0.2497	μB/atom

5.
BeTlCrF6 | PBE with a Hubbard U | relaxed

a = 4.988 Å, b = 4.988 Å, c = 6.231 Å
α = 89.98°, β = 89.99°, γ = 60.00°
Last column: magnetic moment on the atom in μB.
Fractional positions:
1 Be 0.333 0.333 0.500  0.01
2 Tl 0.000 0.000 0.000  0.00
3 Cr 0.667 0.667 0.500  2.95
4 F 0.024 0.363 0.336  0.00
5 F 0.363 0.024 0.664  0.00
6 F 0.613 0.363 0.664  0.00
7 F 0.024 0.613 0.664  0.00
8 F 0.363 0.613 0.336  0.00
9 F 0.613 0.024 0.336  0.00

Fermi-level density of states	0.000	states/eV/f.u.
VASP energy	-48.49	eV/cell
total moment	0.3329	μB/atom

6.
BeTlCr2F8 | PBE with a Hubbard U | relaxed

a = 4.794 Å, b = 4.780 Å, c = 7.727 Å
α = 91.20°, β = 91.25°, γ = 81.88°
Last column: magnetic moment on the atom in μB.
Fractional positions:
1 Be 0.000 0.000 0.000  0.00
2 Tl 0.000 0.000 0.500  0.00
3 Cr 0.495 0.495 0.814  3.38
4 Cr 0.505 0.505 0.186  3.38
5 F 0.187 0.814 0.160  0.00
6 F 0.699 0.701 0.992  -0.02
7 F 0.816 0.188 0.160  0.00
8 F 0.813 0.186 0.840  0.00
9 F 0.301 0.299 0.008  -0.02
10 F 0.184 0.812 0.840  0.00
11 F 0.650 0.652 0.393  0.01
12 F 0.350 0.348 0.607  0.01

Fermi-level density of states	2.537	states/eV/f.u.
VASP energy	-65.49	eV/cell
total moment	0.5833	μB/atom

7.
Y2BeCrF | PBE with a Hubbard U | relaxed

a = 5.739 Å, b = 3.394 Å, c = 5.739 Å
α = 90.00°, β = 90.00°, γ = 90.00°
Last column: magnetic moment on the atom in μB.
Fractional positions:
1 Y 0.000 0.000 0.500  -0.19
2 Y 0.500 0.000 0.000  -0.25
3 Cr 0.500 0.500 0.500  4.14
4 Be 0.000 0.000 0.000  -0.05
5 F 0.000 0.500 0.000  -0.02

Fermi-level density of states	5.828	states/eV/f.u.
VASP energy	-26.14	eV/cell
total moment	0.7473	μB/atom